Record 1
Material: RbZn2BiBr8
Method: DFT, PBE
State: optimized geometry

Computed properties:
- raw formation energy (eV per atom) = -0.955
- total magnetic moment (μB per cell) = 0.0
- density of states at the Fermi level (states/eV per cell) = 0.00

a = 6.8976 Å, b = 6.8976 Å, c = 11.1865 Å
α = 72.04°, β = 72.04°, γ = 60.00°
Element x y z (fractional)
1 Bi 0.0000 0.0000 0.0000
2 Br 0.2908 0.9346 0.1637
3 Br 0.9346 0.6109 0.1637
4 Br 0.1772 0.1772 0.4685
5 Br 0.0654 0.3891 0.8363
6 Br 0.7092 0.0654 0.8363
7 Br 0.6109 0.2908 0.1637
8 Br 0.3891 0.7092 0.8363
9 Br 0.8228 0.8228 0.5315
10 Zn 0.7477 0.7477 0.7569
11 Zn 0.2523 0.2523 0.2431
12 Rb 0.5000 0.5000 0.5000



Record 2
Material: CsCu2Au2
Method: DFT, PBE
State: optimized geometry

Computed properties:
- energy of formation (eV per atom) = 0.221
- total magnetic moment (μB per cell) = 0.0
- density of states at the Fermi level (states/eV per cell) = 2.47
- E above lowest polymorph (meV/atom) = 87

a = 8.2310 Å, b = 8.2310 Å, c = 3.0817 Å
α = 90.00°, β = 90.00°, γ = 90.00°
Element x y z (fractional)
1 Cu 0.3894 0.8894 0.0000
2 Cu 0.6106 0.1106 0.0000
3 Cu 0.1106 0.3894 0.0000
4 Cu 0.8894 0.6106 0.0000
5 Au 0.8290 0.3290 0.5000
6 Au 0.6710 0.8290 0.5000
7 Au 0.1710 0.6710 0.5000
8 Au 0.3290 0.1710 0.5000
9 Cs 0.5000 0.5000 0.0000
10 Cs 0.0000 0.0000 0.0000



Record 3
Material: Rb3Ac2TlO6
Method: DFT, PBE
State: optimized geometry

Computed properties:
- raw formation energy (eV per atom) = -1.968
- total magnetic moment (μB per cell) = 0.0

a = 6.5236 Å, b = 6.5236 Å, c = 6.9981 Å
α = 98.78°, β = 98.78°, γ = 120.08°
Element x y z (fractional)
1 O 0.3857 0.0631 0.1901
2 O 0.0631 0.3857 0.1901
3 O 0.2597 0.2597 0.8111
4 O 0.6143 0.9369 0.8099
5 O 0.7403 0.7403 0.1889
6 O 0.9369 0.6143 0.8099
7 Rb 0.8406 0.1594 0.5000
8 Rb 0.5000 0.5000 0.5000
9 Rb 0.1594 0.8406 0.5000
10 Tl 0.0000 0.0000 0.0000
11 Ac 0.6671 0.3329 0.0000
12 Ac 0.3329 0.6671 0.0000



Record 4
Material: FeTeI2
Method: DFT, PBE
State: optimized geometry

Computed properties:
- raw formation energy (eV per atom) = 0.443
- total magnetic moment (μB per cell) = 4.0
- density of states at the Fermi level (states/eV per cell) = 9.15

a = 7.6348 Å, b = 7.6348 Å, c = 7.4224 Å
α = 59.05°, β = 59.05°, γ = 90.00°
Element x y z (fractional)
1 I 0.5370 0.1250 0.2500
2 I 0.2130 0.6250 0.2500
3 I 0.8750 0.7870 0.7500
4 I 0.3750 0.4630 0.7500
5 Te 0.0000 0.0000 0.0000
6 Te 0.7500 0.2500 0.5000
7 Fe 0.2500 0.7500 0.5000
8 Fe 0.5000 0.5000 0.0000



Record 5
Material: SmFeSb2
Method: DFT, PBE
State: optimized geometry

Computed properties:
- raw formation energy (eV per atom) = -0.510
- total magnetic moment (μB per cell) = 0.0
- density of states at the Fermi level (states/eV per cell) = 3.93

a = 4.3342 Å, b = 4.3342 Å, c = 9.7493 Å
α = 90.00°, β = 90.00°, γ = 90.00°
Element x y z (fractional)
1 Sb 0.5000 0.5000 0.0000
2 Sb 0.5000 0.0000 0.6365
3 Sb 0.0000 0.5000 0.3635
4 Sb 0.0000 0.0000 0.0000
5 Fe 0.5000 0.5000 0.5000
6 Fe 0.0000 0.0000 0.5000
7 Sm 0.5000 0.0000 0.2590
8 Sm 0.0000 0.5000 0.7410



Record 6
Material: InSN
Method: DFT, PBE
State: optimized geometry

Computed properties:
- raw formation energy (eV per atom) = 0.237
- total magnetic moment (μB per cell) = 0.0
- density of states at the Fermi level (states/eV per cell) = 1.90

a = 7.1371 Å, b = 8.9978 Å, c = 3.6334 Å
α = 90.00°, β = 120.59°, γ = 90.00°
Element x y z (fractional)
1 N 0.7530 0.8451 0.0041
2 N 0.2470 0.1549 0.9959
3 N 0.7470 0.3451 0.9959
4 N 0.2530 0.6549 0.0041
5 In 0.6045 0.7234 0.3553
6 In 0.8955 0.2234 0.6447
7 In 0.3955 0.2766 0.6447
8 In 0.1045 0.7766 0.3553
9 S 0.2745 0.9655 0.0241
10 S 0.2255 0.4655 0.9759
11 S 0.7745 0.5345 0.0241
12 S 0.7255 0.0345 0.9759